[1]
Tl2TeAsSe | PBE-GGA | optimized geometry

Cell lengths 5.798, 4.831, 5.798 Å; angles 90.00, 90.00, 90.00 degrees
Atoms (fractional coordinates):
Se1 0.000 0.500 0.000
Te1 0.500 0.500 0.500
Tl1 0.000 0.000 0.500
Tl2 0.500 0.000 0.000
As1 0.000 0.000 0.000

## Properties
SG = P4/mmm, No. 123
electronic total energy = -15.22 eV for the cell shown
energy relative to the elements, uncorrected = 0.1582 eV per atom
crystal system = tetragonal

=====

[2]
TlTeAsSe2 | PBE-GGA | optimized geometry

Cell lengths 5.489, 5.489, 5.407 Å; angles 90.00, 90.00, 90.00 degrees
Atoms (fractional coordinates):
Se1 0.500 0.000 0.000
Se2 0.000 0.500 0.000
Te1 0.000 0.000 0.000
Tl1 0.500 0.500 0.500
As1 0.000 0.000 0.500

## Properties
polymorph energy (0 for the lowest one) = 0.0 kJ/mol of atoms
SG = P4/mmm, No. 123
electronic total energy = -15.32 eV for the cell shown
energy relative to the elements, uncorrected = 0.3612 eV per atom
crystal system = tetragonal

=====

[3]
Tm6Te3AsSe2 | PBE-GGA | optimized geometry

Cell lengths 7.164, 7.164, 7.336 Å; angles 99.37, 99.37, 119.95 degrees
Atoms (fractional coordinates):
Te1 0.832 0.168 0.500
Te2 0.500 0.500 0.500
Te3 0.168 0.832 0.500
Tm1 0.929 0.601 0.787
Tm2 0.256 0.256 0.785
Tm3 0.744 0.744 0.215
Tm4 0.601 0.929 0.787
Tm5 0.399 0.071 0.213
Tm6 0.071 0.399 0.213
As1 0.000 0.000 0.000
Se1 0.334 0.666 0.000
Se2 0.666 0.334 0.000

## Properties
SG = C2/m, No. 12
electronic total energy = -65.17 eV for the cell shown
energy relative to the elements, uncorrected = -1.4411 eV per atom
crystal system = monoclinic

=====

[4]
Tm6Te2AsSe3 | PBE-GGA | optimized geometry

Cell lengths 7.197, 7.197, 7.086 Å; angles 99.68, 99.68, 120.14 degrees
Atoms (fractional coordinates):
Te1 0.337 0.663 0.000
Te2 0.663 0.337 0.000
Se1 0.819 0.181 0.500
Se2 0.500 0.500 0.500
Se3 0.181 0.819 0.500
Tm1 0.390 0.086 0.264
Tm2 0.610 0.914 0.736
Tm3 0.086 0.390 0.264
Tm4 0.791 0.791 0.278
Tm5 0.914 0.610 0.736
Tm6 0.209 0.209 0.722
As1 0.000 0.000 0.000

## Properties
SG = C2/m, No. 12
electronic total energy = -66.20 eV for the cell shown
energy relative to the elements, uncorrected = -1.4988 eV per atom
crystal system = monoclinic

=====

[5]
Tm6TeAs3Se2 | PBE-GGA | optimized geometry

Cell lengths 4.078, 8.225, 9.179 Å; angles 103.56, 102.84, 90.00 degrees
Atoms (fractional coordinates):
Tm1 0.325 0.922 0.649
Tm2 0.002 0.729 0.004
Tm3 0.998 0.271 0.996
Tm4 0.675 0.078 0.351
Tm5 0.336 0.409 0.672
Tm6 0.664 0.591 0.328
As1 0.500 0.500 0.000
As2 0.835 0.168 0.671
As3 0.165 0.832 0.329
Te1 0.500 0.000 0.000
Se1 0.832 0.666 0.665
Se2 0.168 0.334 0.335

## Properties
SG = C2/m, No. 12
electronic total energy = -69.66 eV for the cell shown
energy relative to the elements, uncorrected = -1.5640 eV per atom
crystal system = monoclinic

=====

[6]
Tm8Te4AsSe3 | PBE-GGA | optimized geometry

Cell lengths 8.285, 8.403, 8.285 Å; angles 119.54, 120.00, 90.00 degrees
Atoms (fractional coordinates):
Se1 0.000 0.500 0.500
Se2 0.500 0.500 0.000
Se3 0.500 0.500 0.500
Te1 0.000 0.000 0.500
Te2 0.500 0.000 0.000
Te3 0.000 0.000 0.000
Te4 0.500 0.000 0.500
Tm1 0.765 0.287 0.022
Tm2 0.235 0.713 0.978
Tm3 0.258 0.287 0.022
Tm4 0.738 0.713 0.476
Tm5 0.235 0.713 0.471
Tm6 0.262 0.287 0.524
Tm7 0.742 0.713 0.978
Tm8 0.765 0.287 0.529
As1 0.000 0.500 0.000

## Properties
SG = R-3m, No. 166
electronic total energy = -86.48 eV for the cell shown
energy relative to the elements, uncorrected = -1.4401 eV per atom
crystal system = trigonal

=====

> Number 2 is which compound?

TlTeAsSe2